TbTePd | PBE-GGA | optimized geometry

Cell lengths 3.9691, 3.9691, 5.3360 Å; angles 111.83, 111.83, 90.00 degrees
Positions (direct):
Tb (0.2833, 0.2833, 0.5666)
Pd (0.9394, 0.9394, 0.8788)
Te (0.6273, 0.6273, 0.2546)

Computed properties:
energy relative to the elements, uncorrected	-0.830	eV/atom

---

AlIrW2 | PBE-GGA | optimized geometry

Cell lengths 9.1931, 9.1931, 9.1931 Å; angles 17.62, 17.62, 17.62 degrees
Positions (direct):
W (0.0014, 0.0014, 0.0014)
Ir (0.7500, 0.7500, 0.7500)
W (0.4986, 0.4986, 0.4986)
Al (0.2500, 0.2500, 0.2500)

Computed properties:
formation energy	-0.256	kcal/mol of atoms

---

CaTl2BN | PBE-GGA | optimized geometry

Cell lengths 6.0491, 4.1868, 6.0491 Å; angles 90.00, 90.00, 90.00 degrees
Positions (direct):
B (0.5000, 0.5000, 0.5000)
N (0.0000, 0.5000, 0.0000)
Tl (0.5000, 0.0000, 0.0000)
Tl (0.0000, 0.0000, 0.5000)
Ca (0.0000, 0.0000, 0.0000)

Computed properties:
energy relative to the elements, uncorrected	1.575	eV/atom

---

ScH3Pb | PBE-GGA | optimized geometry

Cell lengths 3.9459, 3.9459, 3.9459 Å; angles 90.00, 90.00, 90.00 degrees
Positions (direct):
Sc (0.0000, 0.0000, 0.0000)
H (0.0000, 0.5000, 0.0000)
H (0.5000, 0.0000, 0.0000)
H (0.0000, 0.0000, 0.5000)
Pb (0.5000, 0.5000, 0.5000)

Computed properties:
energy above the lowest structure with this stoichiometry	0	meV/atom

---

CrFe2Ir | PBE-GGA | optimized geometry

Cell lengths 4.5377, 4.5377, 4.5377 Å; angles 132.24, 132.24, 69.84 degrees
Positions (direct):
Fe (0.2500, 0.7500, 0.5000)
Ir (0.5000, 0.5000, 0.0000)
Fe (0.0000, 0.0000, 0.0000)
Cr (0.7500, 0.2500, 0.5000)

Computed properties:
formation energy	-1.724	kcal/mol of atoms

---

K2VAuSe | PBE-GGA | optimized geometry

Cell lengths 6.3153, 4.7785, 6.3153 Å; angles 90.00, 90.00, 90.00 degrees
Positions (direct):
Se (0.0000, 0.0000, 0.0000)
K (0.5000, 0.0000, 0.0000)
Au (0.5000, 0.5000, 0.5000)
V (0.0000, 0.5000, 0.0000)
K (0.0000, 0.0000, 0.5000)

Computed properties:
energy above the lowest structure with this stoichiometry	0	meV/atom
energy relative to the elements, uncorrected	-0.098	eV/atom

---

Ti3BeAs2 | PBE-GGA | optimized geometry

Cell lengths 3.5837, 9.6817, 10.1717 Å; angles 90.00, 90.00, 90.00 degrees
Positions (direct):
Ti (0.2500, 0.7804, 0.7209)
Be (0.2500, 0.3715, 0.6268)
As (0.2500, 0.4961, 0.8077)
As (0.7500, 0.3098, 0.5175)
Be (0.7500, 0.8715, 0.8732)
Ti (0.7500, 0.8828, 0.4522)
Ti (0.7500, 0.2804, 0.7791)
Ti (0.2500, 0.4382, 0.3789)
Be (0.2500, 0.1285, 0.1268)
Be (0.7500, 0.6285, 0.3732)
Ti (0.7500, 0.6172, 0.9522)
Ti (0.7500, 0.5618, 0.6211)
Ti (0.7500, 0.2196, 0.2791)
Ti (0.7500, 0.9382, 0.1211)
As (0.7500, 0.1902, 0.0175)
As (0.7500, 0.9961, 0.6923)
Ti (0.2500, 0.3828, 0.0478)
As (0.7500, 0.5039, 0.1923)
As (0.2500, 0.0039, 0.3077)
Ti (0.2500, 0.1172, 0.5478)
Ti (0.2500, 0.0618, 0.8789)
As (0.2500, 0.8098, 0.9825)
As (0.2500, 0.6902, 0.4825)
Ti (0.2500, 0.7196, 0.2209)

Computed properties:
formation energy	-16.930	kcal/mol of atoms

---

Si3RhS | PBE-GGA | optimized geometry

Cell lengths 4.5869, 4.5869, 4.5869 Å; angles 90.00, 90.00, 90.00 degrees
Positions (direct):
Si (0.0000, 0.0000, 0.5000)
Rh (0.0000, 0.0000, 0.0000)
S (0.5000, 0.5000, 0.5000)
Si (0.5000, 0.0000, 0.0000)
Si (0.0000, 0.5000, 0.0000)

Computed properties:
energy above the lowest structure with this stoichiometry	0	meV/atom
energy relative to the elements, uncorrected	0.275	eV/atom

---

TaV6W2 | PBE-GGA | optimized geometry

Cell lengths 6.6047, 5.0150, 5.0150 Å; angles 60.75, 72.22, 72.22 degrees
Positions (direct):
W (0.1014, 0.3225, 0.3225)
V (0.5317, 0.2456, 0.2456)
V (0.6967, 0.2055, 0.6836)
V (0.4683, 0.7544, 0.7544)
Ta (0.0000, 0.0000, 0.0000)
W (0.8986, 0.6775, 0.6775)
V (0.3033, 0.7945, 0.3164)
V (0.3033, 0.3164, 0.7945)
V (0.6967, 0.6836, 0.2055)

Computed properties:
energy above the lowest structure with this stoichiometry	142	meV/atom
formation energy	6.114	kcal/mol of atoms

---

SrAcTl | PBE-GGA | optimized geometry

Cell lengths 4.2074, 5.7134, 5.7134 Å; angles 120.00, 90.00, 90.00 degrees
Positions (direct):
Ac (0.2573, 0.6667, 0.3333)
Tl (0.0174, 0.0000, 0.0000)
Sr (0.7253, 0.3333, 0.6667)

Computed properties:
energy above the lowest structure with this stoichiometry	143	meV/atom
formation energy	-3.397	kcal/mol of atoms

---

Cs3Na2Cd2 | PBE-GGA | optimized geometry

Cell lengths 8.2227, 10.0849, 18.1456 Å; angles 90.00, 90.00, 90.00 degrees
Positions (direct):
Na (0.6013, 0.0499, 0.9171)
Cd (0.8094, 0.3853, 0.2500)
Cd (0.1906, 0.6147, 0.7500)
Cd (0.1906, 0.8853, 0.2500)
Cs (0.0991, 0.5917, 0.3925)
Cs (0.0991, 0.9083, 0.6075)
Cd (0.6777, 0.7500, 0.5000)
Na (0.3987, 0.5499, 0.5829)
Cd (0.3223, 0.2500, 0.5000)
Cs (0.9009, 0.0917, 0.1075)
Cd (0.3223, 0.2500, 0.0000)
Cd (0.8094, 0.1147, 0.7500)
Cd (0.6777, 0.7500, 0.0000)
Cs (0.9009, 0.4083, 0.8925)
Na (0.6013, 0.4501, 0.0829)
Cs (0.0991, 0.5917, 0.1075)
Na (0.3987, 0.9501, 0.0829)
Cs (0.0991, 0.9083, 0.8925)
Na (0.3987, 0.5499, 0.9171)
Cs (0.9009, 0.0917, 0.3925)
Cs (0.3522, 0.2520, 0.7500)
Na (0.6013, 0.4501, 0.4171)
Na (0.3987, 0.9501, 0.4171)
Na (0.6013, 0.0499, 0.5829)
Cs (0.3522, 0.2480, 0.2500)
Cs (0.6478, 0.7520, 0.7500)
Cs (0.9009, 0.4083, 0.6075)
Cs (0.6478, 0.7480, 0.2500)

Computed properties:
formation energy	-0.235	kcal/mol of atoms

---

LaDyRe4 | PBE-GGA | optimized geometry

Cell lengths 5.4880, 5.4880, 5.4880 Å; angles 60.00, 60.00, 60.00 degrees
Positions (direct):
Re (0.6251, 0.1246, 0.6251)
La (0.2500, 0.2500, 0.2500)
Re (0.6251, 0.6251, 0.1246)
Re (0.1246, 0.6251, 0.6251)
Dy (0.0000, 0.0000, 0.0000)
Re (0.6251, 0.6251, 0.6251)

Computed properties:
formation energy	0.381	kcal/mol of atoms

---

| no. | total energy (eV/atom) |
| --- | --- |
| 1 | -5.152 |
| 2 | -9.639 |
| 3 | -2.773 |
| 4 | -4.113 |
| 5 | -8.927 |
| 6 | -3.713 |
| 7 | -6.852 |
| 8 | -5.274 |
| 9 | -10.009 |
| 10 | -2.866 |
| 11 | -1.014 |
| 12 | -9.870 |